# Li3As2Pt4 PBE relaxed
# - E_form: -0.499 eV per atom
# - Magnetic moment: 0.0 μB/cell
# - E_tot: -4.855 eV/atom
data_Li3As2Pt4
_cell_length_a 7.826
_cell_length_b 4.412
_cell_length_c 8.188
_cell_angle_alpha 90.00
_cell_angle_beta 96.51
_cell_angle_gamma 90.00
_space_group_name_H-M_alt 'C 1 2/m 1'
_space_group_IT_number 12
loop_
_space_group_symop_operation_xyz
'x,y,z'
'-x,-y,-z'
'-x,y,-z'
'x,-y,z'
'x+1/2,y+1/2,z'
'-x+1/2,-y+1/2,-z'
'-x+1/2,y+1/2,-z'
'x+1/2,-y+1/2,z'
loop_
_atom_site_label
_atom_site_type_symbol
_atom_site_fract_x
_atom_site_fract_y
_atom_site_fract_z
Li1 Li 0.000 0.000 0.000
Li2 Li 0.149 0.500 0.452
As1 As 0.139 0.500 0.794
Pt1 Pt 0.065 0.000 0.658
Pt2 Pt 0.158 0.500 0.102

***

# TbTmAlCd PBE relaxed
# - E_form: -0.363 eV per atom
# - Magnetic moment: 0.0 μB/cell
# - E_tot: -3.803 eV/atom
data_TbTmAlCd
_cell_length_a 3.620
_cell_length_b 3.620
_cell_length_c 7.468
_cell_angle_alpha 90.00
_cell_angle_beta 90.00
_cell_angle_gamma 90.00
_space_group_name_H-M_alt 'P 4 m m'
_space_group_IT_number 99
loop_
_space_group_symop_operation_xyz
'x,y,z'
'-y,x,z'
'-x,-y,z'
'y,-x,z'
'-x,y,z'
'y,x,z'
'x,-y,z'
'-y,-x,z'
loop_
_atom_site_label
_atom_site_type_symbol
_atom_site_fract_x
_atom_site_fract_y
_atom_site_fract_z
Tb1 Tb 0.000 0.000 0.000
Tm1 Tm 0.000 0.000 0.477
Al1 Al 0.500 0.500 0.244
Cd1 Cd 0.500 0.500 0.729

***

# Li2UPdO6 PBE relaxed
# - Magnetic moment: 0.0 μB/cell
# - E_form (uncorrected): -1.96 eV/atom
# - E_tot: -6.970 eV/atom
data_Li2UPdO6
_cell_length_a 5.2894
_cell_length_b 5.2894
_cell_length_c 14.1953
_cell_angle_alpha 90.00
_cell_angle_beta 90.00
_cell_angle_gamma 120.00
_space_group_name_H-M_alt 'R 3'
_space_group_IT_number 146
_space_group_name_Hall 'R 3'
loop_
_atom_site_label
_atom_site_type_symbol
_atom_site_fract_x
_atom_site_fract_y
_atom_site_fract_z
Li1 Li 0.0000 0.0000 0.0000
Li2 Li 0.0000 0.0000 0.4976
U1 U 0.0000 0.0000 0.2846
Pd1 Pd 0.0000 0.0000 0.7859
O1 O 0.0055 0.3725 0.0402
O2 O 0.0164 0.6397 0.5386

***

# GdTmBeIn PBE relaxed
# - E_form: -0.111 eV per atom
# - Magnetic moment: 29.9 μB/cell
# - E_tot: -6.366 eV/atom
data_GdTmBeIn
_cell_length_a 7.225
_cell_length_b 7.225
_cell_length_c 7.225
_cell_angle_alpha 90.00
_cell_angle_beta 90.00
_cell_angle_gamma 90.00
_space_group_name_H-M_alt 'F -4 3 m'
_space_group_IT_number 216
_space_group_name_Hall 'F -4 2 3'
loop_
_atom_site_label
_atom_site_type_symbol
_atom_site_fract_x
_atom_site_fract_y
_atom_site_fract_z
Gd1 Gd 0.000 0.000 0.000
Tm1 Tm 0.000 0.000 0.500
Be1 Be 0.250 0.250 0.250
In1 In 0.250 0.250 0.750

***

# Cd2MoPb PBE relaxed
# - E_form: 0.544 eV per atom
# - Magnetic moment: 1.8 μB/cell
# - E_tot: -3.548 eV/atom
data_Cd2MoPb
_cell_length_a 4.246
_cell_length_b 4.246
_cell_length_c 4.716
_cell_angle_alpha 90.00
_cell_angle_beta 90.00
_cell_angle_gamma 90.00
_space_group_name_H-M_alt 'P 4/m m m'
_space_group_IT_number 123
_space_group_name_Hall '-P 4 2'
loop_
_atom_site_label
_atom_site_type_symbol
_atom_site_fract_x
_atom_site_fract_y
_atom_site_fract_z
Cd1 Cd 0.000 0.500 0.000
Mo1 Mo 0.000 0.000 0.500
Pb1 Pb 0.500 0.500 0.500

***

# SrTeC2I PBE relaxed
# - Magnetic moment: 4.7 μB/cell
# - E_form (uncorrected): 2.19 eV/atom
# - E_tot: -2.776 eV/atom
data_SrTeC2I
_cell_length_a 5.147
_cell_length_b 5.147
_cell_length_c 6.518
_cell_angle_alpha 90.00
_cell_angle_beta 90.00
_cell_angle_gamma 90.00
_space_group_name_H-M_alt 'P 4/m m m'
_space_group_IT_number 123
_space_group_name_Hall '-P 4 2'
loop_
_atom_site_label
_atom_site_type_symbol
_atom_site_fract_x
_atom_site_fract_y
_atom_site_fract_z
Sr1 Sr 0.000 0.000 0.000
Te1 Te 0.500 0.500 0.500
C1 C 0.000 0.500 0.000
I1 I 0.000 0.000 0.500

***

# CuCO2F PBE relaxed
# - Magnetic moment: 0.3 μB/cell
# - E_form (uncorrected): 0.40 eV/atom
# - E_tot: -4.625 eV/atom
data_CuCO2F
_cell_length_a 3.044
_cell_length_b 3.044
_cell_length_c 5.765
_cell_angle_alpha 90.00
_cell_angle_beta 90.00
_cell_angle_gamma 90.00
_space_group_name_H-M_alt 'P 4/m m m'
_space_group_IT_number 123
_space_group_name_Hall '-P 4 2'
loop_
_atom_site_label
_atom_site_type_symbol
_atom_site_fract_x
_atom_site_fract_y
_atom_site_fract_z
Cu1 Cu 0.000 0.000 0.000
C1 C 0.500 0.500 0.500
O1 O 0.000 0.500 0.500
F1 F 0.500 0.500 0.000

***

# PmNdY3Er PBE relaxed
# - E_form: 0.021 eV per atom
# - Magnetic moment: 0.0 μB/cell
# - E_tot: -5.558 eV/atom
data_PmNdY3Er
_cell_length_a 5.080
_cell_length_b 15.254
_cell_length_c 10.164
_cell_angle_alpha 90.00
_cell_angle_beta 90.00
_cell_angle_gamma 90.00
_space_group_name_H-M_alt 'C m c m'
_space_group_IT_number 63
_space_group_name_Hall '-C 2c 2'
loop_
_atom_site_label
_atom_site_type_symbol
_atom_site_fract_x
_atom_site_fract_y
_atom_site_fract_z
Pm1 Pm 0.000 0.001 0.250
Nd1 Nd 0.000 0.500 0.000
Y1 Y 0.000 0.168 0.000
Y2 Y 0.000 0.332 0.250
Er1 Er 0.000 0.333 0.750

***

# ScGe2Cl PBE relaxed
# - Magnetic moment: 0.0 μB/cell
# - E_form (uncorrected): -0.30 eV/atom
# - E_tot: -4.653 eV/atom
data_ScGe2Cl
_cell_length_a 9.205
_cell_length_b 9.205
_cell_length_c 4.720
_cell_angle_alpha 90.00
_cell_angle_beta 90.00
_cell_angle_gamma 90.00
_space_group_name_H-M_alt 'I -4 2 d'
_space_group_IT_number 122
_space_group_name_Hall 'I -4 2bw'
loop_
_atom_site_label
_atom_site_type_symbol
_atom_site_fract_x
_atom_site_fract_y
_atom_site_fract_z
Sc1 Sc 0.000 0.000 0.000
Ge1 Ge 0.184 0.250 0.125
Cl1 Cl 0.000 0.000 0.500

***

# UMn2Co PBE relaxed
# - E_form: 0.003 eV per atom
# - Magnetic moment: 1.9 μB/cell
# - E_tot: -9.180 eV/atom
data_UMn2Co
_cell_length_a 3.798
_cell_length_b 3.798
_cell_length_c 3.712
_cell_angle_alpha 90.00
_cell_angle_beta 90.00
_cell_angle_gamma 90.00
_space_group_name_H-M_alt 'P 4/m m m'
_space_group_IT_number 123
_space_group_name_Hall '-P 4 2'
loop_
_atom_site_label
_atom_site_type_symbol
_atom_site_fract_x
_atom_site_fract_y
_atom_site_fract_z
U1 U 0.000 0.000 0.000
Mn1 Mn 0.000 0.500 0.500
Co1 Co 0.500 0.500 0.000

***

# In3Ni PBE relaxed
# - E_form: 0.218 eV per atom
# - Magnetic moment: 0.0 μB/cell
# - E_tot: -3.281 eV/atom
data_In3Ni
_cell_length_a 4.372
_cell_length_b 4.372
_cell_length_c 4.372
_cell_angle_alpha 90.00
_cell_angle_beta 90.00
_cell_angle_gamma 90.00
_space_group_name_H-M_alt 'P m -3 m'
_space_group_IT_number 221
_space_group_name_Hall '-P 4 2 3'
loop_
_atom_site_label
_atom_site_type_symbol
_atom_site_fract_x
_atom_site_fract_y
_atom_site_fract_z
In1 In 0.000 0.000 0.500
Ni1 Ni 0.500 0.500 0.500

***

# TbCeRuCl PBE relaxed
# - Magnetic moment: 1.0 μB/cell
# - E_form (uncorrected): -0.91 eV/atom
# - E_tot: -6.336 eV/atom
data_TbCeRuCl
_cell_length_a 3.9006
_cell_length_b 3.9006
_cell_length_c 23.0079
_cell_angle_alpha 90.00
_cell_angle_beta 90.00
_cell_angle_gamma 120.00
_space_group_name_H-M_alt 'R 3 m'
_space_group_IT_number 160
_space_group_name_Hall 'R 3 -2"'
loop_
_atom_site_label
_atom_site_type_symbol
_atom_site_fract_x
_atom_site_fract_y
_atom_site_fract_z
Tb1 Tb 0.0000 0.0000 0.0000
Ce1 Ce 0.0000 0.0000 0.8023
Ru1 Ru 0.0000 0.0000 0.4088
Cl1 Cl 0.0000 0.0000 0.2380

***

magnetic moment of number 12 (TbCeRuCl)?
1.0 μB/cell

***

Which of these has the highest E_tot?
SrTeC2I